Density functional theory data (PBEsol) for crystalline TaMn2InBr at its relaxed geometry.

Structure (POSCAR):
```
TaMn2InBr
1.0
5.0052 0.0000 0.0000
0.0000 5.0052 0.0000
0.0000 0.0000 5.2458
Ta Mn In Br
1 2 1 1
direct
0.0000 0.0000 0.0000
0.0000 0.5000 0.5000
0.5000 0.0000 0.5000
0.0000 0.0000 0.5000
0.5000 0.5000 0.0000
```

Output
Calculated volume   26.3 A^3/atom
ΔE_f (raw)   1644 meV per atom
Space-group type   P4/mmm
E_tot   -5.741 eV/atom
Crystal system   tetragonal



Density functional theory data (PBEsol) for crystalline LaBi2HRh at its relaxed geometry.

Structure (POSCAR):
```
LaBi2HRh
1.0
5.2105 0.0000 0.0000
0.0000 5.2105 0.0000
0.0000 0.0000 5.3277
La Bi H Rh
1 2 1 1
direct
0.0000 0.0000 0.0000
0.0000 0.5000 0.5000
0.5000 0.0000 0.5000
0.5000 0.5000 0.0000
0.0000 0.0000 0.5000
```

Output
Calculated volume   28.9 A^3/atom
E above lowest polymorph   0 meV/atom
Space-group type   P4/mmm
E_tot   -4.828 eV/atom
Crystal system   tetragonal



Density functional theory data (PBEsol) for crystalline Mn2TlPdN at its relaxed geometry.

Structure (POSCAR):
```
Mn2TlPdN
1.0
5.0044 0.0000 0.0000
0.0000 5.0044 0.0000
0.0000 0.0000 3.6595
Mn Tl Pd N
2 1 1 1
direct
0.0000 0.5000 0.0000
0.5000 0.0000 0.0000
0.0000 0.0000 0.5000
0.5000 0.5000 0.0000
0.5000 0.5000 0.5000
```

Output
Calculated volume   18.3 A^3/atom
ΔE_f (raw)   984 meV per atom
Space-group type   P4/mmm
E_tot   -6.343 eV/atom
Crystal system   tetragonal